# 1
Ca2Tl | Alexandria | PBEsol | optimized geometry; total magnetic moment = 0.0000 μB/atom; space-group type = I4/mcm, No. 140; DFT formation energy = -0.343 eV per atom; density = 4.80 Mg/m³; N(E_F) = 0.9642 states/eV/atom
1.0
-3.819 3.819 3.372
3.819 -3.819 3.372
3.819 3.819 -3.372
Ca Tl
4 2
direct
0.177 0.677 0.854
0.323 0.177 0.500
0.677 0.823 0.500
0.823 0.323 0.146
0.250 0.250 0.000
0.750 0.750 0.000

---

# 2
MgOsO2 | Alexandria | PBEsol | optimized geometry; formation energy (no corrections) = -0.7779 eV per atom; total magnetic moment = 0.0001 μB/atom; space-group type = I-42d, No. 122; density = 8.51 Mg/m³; N(E_F) = 0.5836 states/eV/atom
1.0
-2.394 2.394 4.195
2.394 -2.394 4.195
2.394 2.394 -4.195
Mg Os O
2 2 4
direct
0.000 0.000 0.000
0.750 0.250 0.500
0.250 0.750 0.500
0.500 0.500 0.000
0.105 0.125 0.480
0.375 0.895 0.020
0.645 0.625 0.520
0.875 0.355 0.980

---

# 3
Li2Ti2O5 | Alexandria | PBEsol | optimized geometry; formation energy (no corrections) = -2.7081 eV per atom; total magnetic moment = 0.0000 μB/atom; space-group type = Pbcn, No. 60; density = 2.62 Mg/m³; N(E_F) = 0.0000 states/eV/atom
1.0
5.782 0.000 0.000
0.000 5.311 0.000
0.000 0.000 15.663
Li Ti O
8 8 20
direct
0.095 0.181 0.048
0.095 0.819 0.548
0.405 0.319 0.548
0.405 0.681 0.048
0.595 0.319 0.952
0.595 0.681 0.452
0.905 0.181 0.452
0.905 0.819 0.952
0.090 0.308 0.858
0.090 0.692 0.358
0.410 0.192 0.358
0.410 0.808 0.858
0.590 0.192 0.142
0.590 0.808 0.642
0.910 0.308 0.642
0.910 0.692 0.142
0.000 0.229 0.750
0.000 0.771 0.250
0.093 0.187 0.563
0.093 0.813 0.063
0.127 0.349 0.375
0.127 0.651 0.875
0.373 0.151 0.875
0.373 0.849 0.375
0.407 0.313 0.063
0.407 0.687 0.563
0.500 0.271 0.250
0.500 0.729 0.750
0.593 0.313 0.437
0.593 0.687 0.937
0.627 0.151 0.625
0.627 0.849 0.125
0.873 0.349 0.125
0.873 0.651 0.625
0.907 0.187 0.937
0.907 0.813 0.437

---

# 4
K2CoNi | Alexandria | PBEsol | optimized geometry; total magnetic moment = 0.5113 μB/atom; space-group type = Imm2, No. 44; DFT formation energy = 0.828 eV per atom; density = 3.11 Mg/m³; N(E_F) = 0.9976 states/eV/atom
1.0
-1.945 2.765 4.861
1.945 -2.765 4.861
1.945 2.765 -4.861
K Co Ni
2 1 1
direct
0.000 0.000 0.000
0.692 0.192 0.500
0.391 0.391 0.000
0.295 0.795 0.500

---

# 5
GaAg2PdO | Alexandria | PBEsol | optimized geometry; formation energy (no corrections) = 0.3405 eV per atom; total magnetic moment = 0.1054 μB/atom; space-group type = P4/mmm, No. 123; density = 7.06 Mg/m³; N(E_F) = 0.6894 states/eV/atom
1.0
5.103 0.000 0.000
0.000 5.103 0.000
0.000 0.000 3.684
Ga Ag Pd O
1 2 1 1
direct
0.000 0.000 0.000
0.000 0.500 0.500
0.500 0.000 0.500
0.500 0.500 0.500
0.500 0.500 0.000

---

# 6
YScIr2 | Alexandria | PBEsol | optimized geometry; total magnetic moment = 0.0000 μB/atom; space-group type = Cmmm, No. 65; DFT formation energy = -0.835 eV per atom; density = 12.12 Mg/m³; N(E_F) = 0.2562 states/eV/atom
1.0
3.232 -3.409 0.000
3.232 3.409 0.000
0.000 0.000 3.223
Y Sc Ir
1 1 2
direct
0.000 0.000 0.000
0.500 0.500 0.000
0.000 0.500 0.500
0.500 0.000 0.500

---

# 7
TaNiGe2 | Alexandria | PBEsol | optimized geometry; total magnetic moment = 0.0001 μB/atom; space-group type = Fm-3m, No. 225; DFT formation energy = 0.085 eV per atom; density = 10.94 Mg/m³; N(E_F) = 0.6714 states/eV/atom
1.0
0.000 3.080 3.080
3.080 0.000 3.080
3.080 3.080 0.000
Ta Ni Ge
1 1 2
direct
0.000 0.000 0.000
0.500 0.500 0.500
0.250 0.250 0.250
0.750 0.750 0.750

---

# 8
Li2CaTa | Alexandria | PBEsol | optimized geometry; total magnetic moment = 0.3866 μB/atom; space-group type = F-43m, No. 216; DFT formation energy = 1.003 eV per atom; density = 4.54 Mg/m³; N(E_F) = 1.3974 states/eV/atom
1.0
0.000 3.503 3.503
3.503 0.000 3.503
3.503 3.503 0.000
Li Ca Ta
2 1 1
direct
0.000 0.000 0.000
0.250 0.250 0.250
0.750 0.750 0.750
0.500 0.500 0.500

---

# 9
AgBr2 | Alexandria | PBEsol | optimized geometry; formation energy (no corrections) = -0.1584 eV per atom; total magnetic moment = 0.0012 μB/atom; space-group type = P-3m1, No. 164; density = 6.07 Mg/m³; N(E_F) = 1.4510 states/eV/atom
1.0
3.968 0.000 0.000
-1.984 3.436 0.000
0.000 0.000 5.373
Ag Br
1 2
direct
0.000 0.000 0.000
0.333 0.667 0.274
0.667 0.333 0.726

---

# 10
Lu10Al4Ge11 | Alexandria | PBEsol | optimized geometry; total magnetic moment = 0.0000 μB/atom; space-group type = C2/m, No. 12; DFT formation energy = -0.742 eV per atom; density = 9.00 Mg/m³; N(E_F) = 0.4298 states/eV/atom
1.0
5.103 -1.994 0.000
5.103 1.994 0.000
-3.053 0.000 24.095
Lu Al Ge
10 4 11
direct
0.020 0.020 0.157
0.154 0.154 0.443
0.238 0.238 0.759
0.371 0.371 0.042
0.410 0.410 0.356
0.590 0.590 0.644
0.629 0.629 0.958
0.762 0.762 0.241
0.846 0.846 0.557
0.980 0.980 0.843
0.086 0.086 0.298
0.305 0.305 0.900
0.695 0.695 0.100
0.914 0.914 0.702
0.084 0.084 0.043
0.134 0.134 0.561
0.306 0.306 0.156
0.306 0.306 0.645
0.474 0.474 0.242
0.500 0.500 0.500
0.526 0.526 0.758
0.694 0.694 0.355
0.694 0.694 0.844
0.866 0.866 0.439
0.916 0.916 0.957

---

# 11
ICl2O | Alexandria | PBEsol | optimized geometry; formation energy (no corrections) = 0.9465 eV per atom; total magnetic moment = 0.1196 μB/atom; space-group type = Fm-3m, No. 225; density = 4.67 Mg/m³; N(E_F) = 1.2271 states/eV/atom
1.0
0.000 3.363 3.363
3.363 0.000 3.363
3.363 3.363 0.000
I Cl O
1 2 1
direct
0.000 0.000 0.000
0.250 0.250 0.250
0.750 0.750 0.750
0.500 0.500 0.500

---

# 12
Ga2CuAgTe2Se2 | Alexandria | PBEsol | optimized geometry; formation energy (no corrections) = -0.3108 eV per atom; total magnetic moment = 0.0000 μB/atom; space-group type = C2, No. 5; density = 5.90 Mg/m³; N(E_F) = 0.0198 states/eV/atom
1.0
4.169 -5.806 0.000
4.169 5.806 0.000
-4.119 0.000 4.208
Ga Cu Ag Te Se
2 1 1 2 2
direct
0.000 0.000 0.000
0.762 0.238 0.500
0.492 0.508 0.000
0.270 0.730 0.500
0.387 0.138 0.519
0.862 0.613 0.481
0.123 0.351 0.973
0.649 0.877 0.027